Below is a geometry-optimized K2TlZnF6 structure, with properties calculated at the PBE level.

a b c (Å): 6.1461 8.8233 6.3801
angles (deg): 90.00 90.00 90.00
Fractional coordinates of all 20 atoms:
K: 0.2500 0.0138 0.2205
K: 0.2500 0.4862 0.2205
K: 0.7500 0.5138 0.7795
K: 0.7500 0.9862 0.7795
Tl: 0.2500 0.2500 0.7271
Tl: 0.7500 0.7500 0.2729
Zn: 0.2500 0.7500 0.7683
Zn: 0.7500 0.2500 0.2317
F: 0.0083 0.7500 0.5506
F: 0.0173 0.7500 0.0003
F: 0.2500 0.5180 0.7769
F: 0.2500 0.9820 0.7769
F: 0.4827 0.7500 0.0003
F: 0.4917 0.7500 0.5506
F: 0.5083 0.2500 0.4494
F: 0.5173 0.2500 0.9997
F: 0.7500 0.0180 0.2231
F: 0.7500 0.4820 0.2231
F: 0.9827 0.2500 0.9997
F: 0.9917 0.2500 0.4494

- Formation energy (no corrections): -2.333 eV per atom
- Space-group type: Pmmn (59)
- Density of states at the Fermi level: 4.48 states/eV per cell

Below is a geometry-optimized YErAgAu structure, with properties calculated at the PBE level.

a b c (Å): 3.5893 3.5893 7.2686
angles (deg): 90.00 90.00 90.00
Fractional coordinates of all 4 atoms:
Y: 0.0000 0.0000 0.0000
Er: 0.0000 0.0000 0.5102
Ag: 0.5000 0.5000 0.2629
Au: 0.5000 0.5000 0.7459

- Energy above the lowest structure with this stoichiometry: 0 meV/atom
- Formation energy: -0.607 eV per atom
- Space-group type: P4mm (99)
- Density of states at the Fermi level: 2.45 states/eV per cell

Below is a geometry-optimized SrCeNi2As2 structure, with properties calculated at the PBE level.

a b c (Å): 4.1420 4.1420 8.2600
angles (deg): 90.00 90.00 120.00
Fractional coordinates of all 6 atoms:
Sr: 0.0000 0.0000 0.0000
Ce: 0.0000 0.0000 0.5000
Ni: 0.3333 0.6667 0.7175
Ni: 0.6667 0.3333 0.2825
As: 0.3333 0.6667 0.2643
As: 0.6667 0.3333 0.7357

- Formation energy: -0.943 eV per atom
- Space-group type: P-3m1 (164)
- Density of states at the Fermi level: 3.80 states/eV per cell

Below is a geometry-optimized CrCd2Bi structure, with properties calculated at the PBE level.

a b c (Å): 6.5582 6.5582 6.5582
angles (deg): 101.22 101.22 127.65
Fractional coordinates of all 8 atoms:
Cr: 0.0000 0.0000 0.0000
Cr: 0.7500 0.2500 0.5000
Cd: 0.1037 0.1250 0.4787
Cd: 0.3750 0.8963 0.0213
Cd: 0.6463 0.6250 0.5213
Cd: 0.8750 0.3537 0.9787
Bi: 0.2500 0.7500 0.5000
Bi: 0.5000 0.5000 0.0000

- Formation energy: 0.458 eV per atom
- Space-group type: I-42d (122)
- Density of states at the Fermi level: 7.49 states/eV per cell

Below is a geometry-optimized Na2LiTlCl4 structure, with properties calculated at the PBE level.

a b c (Å): 7.2815 7.2815 14.0713
angles (deg): 90.00 90.00 147.39
Fractional coordinates of all 16 atoms:
Na: 0.1273 0.8727 0.5467
Na: 0.1273 0.8727 0.9533
Na: 0.8727 0.1273 0.0467
Na: 0.8727 0.1273 0.4533
Li: 0.3422 0.6578 0.2500
Li: 0.6578 0.3422 0.7500
Tl: 0.3845 0.6155 0.7500
Tl: 0.6155 0.3845 0.2500
Cl: 0.0705 0.9295 0.7500
Cl: 0.2415 0.7585 0.1174
Cl: 0.2415 0.7585 0.3826
Cl: 0.5000 0.5000 0.0000
Cl: 0.5000 0.5000 0.5000
Cl: 0.7585 0.2415 0.6174
Cl: 0.7585 0.2415 0.8826
Cl: 0.9295 0.0705 0.2500

- Formation energy (no corrections): -1.595 eV per atom
- Space-group type: Cmcm (63)
- Density of states at the Fermi level: 0.00 states/eV per cell

Below is a geometry-optimized Mn2RhBr structure, with properties calculated at the PBE level.

a b c (Å): 8.0328 8.0328 8.0328
angles (deg): 23.24 23.24 23.24
Fractional coordinates of all 4 atoms:
Mn: 0.2449 0.2449 0.2449
Mn: 0.7551 0.7551 0.7551
Rh: 0.5000 0.5000 0.5000
Br: 0.0000 0.0000 0.0000

- Energy above the lowest structure with this stoichiometry: 135 meV/atom
- Formation energy (no corrections): 0.173 eV per atom
- Space-group type: R-3m (166)
- Density of states at the Fermi level: 2.37 states/eV per cell

Below is a geometry-optimized Ac2Tm3Tl4 structure, with properties calculated at the PBE level.

a b c (Å): 8.5502 8.4605 8.2483
angles (deg): 90.00 108.71 90.00
Fractional coordinates of all 18 atoms:
Ac: 0.1906 0.1765 0.0655
Ac: 0.1906 0.3235 0.5655
Ac: 0.8094 0.6765 0.4345
Ac: 0.8094 0.8235 0.9345
Tm: 0.2500 0.6638 0.2484
Tm: 0.2500 0.8362 0.7484
Tm: 0.5000 0.0000 0.5000
Tm: 0.5000 0.5000 0.0000
Tm: 0.7500 0.1638 0.2516
Tm: 0.7500 0.3362 0.7516
Tl: 0.0834 0.5443 0.8575
Tl: 0.0834 0.9557 0.3575
Tl: 0.4991 0.6294 0.6342
Tl: 0.4991 0.8706 0.1342
Tl: 0.5009 0.1294 0.8658
Tl: 0.5009 0.3706 0.3658
Tl: 0.9166 0.0443 0.6425
Tl: 0.9166 0.4557 0.1425

- Energy above the lowest structure with this stoichiometry: 0 meV/atom
- Formation energy: -0.352 eV per atom
- Space-group type: P2_1/c (14)
- Density of states at the Fermi level: 14.89 states/eV per cell

Below is a geometry-optimized Tb4Ge6O19 structure, with properties calculated at the PBE level.

a b c (Å): 7.4984 7.4984 7.4984
angles (deg): 109.47 109.47 109.47
Fractional coordinates of all 29 atoms:
Tb: 0.0000 0.0000 0.3189
Tb: 0.0000 0.3189 0.0000
Tb: 0.3189 0.0000 0.0000
Tb: 0.6811 0.6811 0.6811
Ge: 0.1653 0.5000 0.6653
Ge: 0.3347 0.8347 0.5000
Ge: 0.5000 0.3347 0.8347
Ge: 0.5000 0.6653 0.1653
Ge: 0.6653 0.1653 0.5000
Ge: 0.8347 0.5000 0.3347
O: 0.0000 0.0000 0.0000
O: 0.0000 0.3478 0.3478
O: 0.0000 0.6522 0.6522
O: 0.0367 0.6668 0.2796
O: 0.2430 0.6301 0.9633
O: 0.2796 0.0367 0.6668
O: 0.3332 0.3699 0.6129
O: 0.3478 0.0000 0.3478
O: 0.3478 0.3478 0.0000
O: 0.3699 0.6129 0.3332
O: 0.3871 0.7570 0.7204
O: 0.6129 0.3332 0.3699
O: 0.6301 0.9633 0.2430
O: 0.6522 0.0000 0.6522
O: 0.6522 0.6522 0.0000
O: 0.6668 0.2796 0.0367
O: 0.7204 0.3871 0.7570
O: 0.7570 0.7204 0.3871
O: 0.9633 0.2430 0.6301

- Formation energy (no corrections): -2.174 eV per atom
- Space-group type: I23 (197)
- Density of states at the Fermi level: 21.02 states/eV per cell